The following is a GGA-PBE calculation of Sc2AlSnO after structural relaxation, from Alexandria via LeMat-Bulk.

a = 5.510 Å, b = 5.510 Å, c = 3.505 Å
α = 90.00°, β = 90.00°, γ = 90.00°
Space group P4/mmm (No. 123)
One atom of each set of equivalent atoms:
Sc: 0.000 0.500 0.000 x2
Al: 0.000 0.000 0.000 x1
Sn: 0.500 0.500 0.500 x1
O: 0.000 0.000 0.500 x1

raw formation energy: -46 kJ/mol of atoms
N(E_F): 4.59 states/eV per cell
total magnetization: 1.04 μB per cell